(1)
Entry from Alexandria: crystalline KCoSb2Pb at its relaxed geometry (PBE).

Geometry as POSCAR:
```
KCoSb2Pb
1.0
-1.834 1.152 -4.623
-4.941 -0.887 1.739
-0.395 4.900 1.377
Pb Sb K Co
1 2 1 1
direct
0.000 0.500 0.000 Pb
0.000 0.000 0.500 Sb
0.500 0.000 0.000 Sb
0.500 0.500 0.500 K
0.000 0.000 0.000 Co
```

Output
volume = 27.69 A^3/atom
space-group type = P4/mmm (123)
formation energy without anion corrections = 98 meV per atom

---

(2)
Entry from Alexandria: crystalline TlAgSe2 at its relaxed geometry (PBE).

Geometry as POSCAR:
```
TlAgSe2
1.0
-4.816 -2.705 -1.949
0.611 -1.217 -5.697
2.051 -1.035 5.388
Ag Se Tl
1 2 1
direct
0.217 0.717 0.500 Ag
0.000 0.000 0.000 Se
0.781 0.281 0.500 Se
0.502 0.502 0.000 Tl
```

Output
volume = 24.22 A^3/atom
space-group type = Imm2 (44)
formation energy without anion corrections = 122 meV per atom

---

(3)
Entry from Alexandria: crystalline KSrY2 at its relaxed geometry (PBE).

Geometry as POSCAR:
```
KSrY2
1.0
7.194 -0.008 0.000
-3.374 6.354 0.000
0.000 0.000 3.683
K Sr Y
1 1 2
direct
0.500 0.000 0.500 K
0.000 0.500 0.500 Sr
0.000 0.000 0.000 Y
0.500 0.500 0.000 Y
```

Output
ΔE_f = 0.4861 eV per atom
volume = 42.06 A^3/atom
E above lowest polymorph = 27.3 kJ/mol of atoms
space-group type = Cmmm (65)

---

(4)
Entry from Alexandria: crystalline Tb4SnAsS2 at its relaxed geometry (PBE).

Geometry as POSCAR:
```
Tb4SnAsS2
1.0
-6.271 1.448 5.133
-5.210 -0.191 -6.371
5.128 -6.355 1.378
Tb Sn As S
8 2 2 4
direct
0.257 0.745 0.001 Tb
0.755 0.243 0.499 Tb
0.245 0.757 0.501 Tb
0.743 0.255 0.999 Tb
0.749 0.751 0.015 Tb
0.749 0.751 0.485 Tb
0.251 0.249 0.515 Tb
0.251 0.249 0.985 Tb
0.500 0.500 0.500 Sn
0.000 0.000 0.000 Sn
0.000 0.500 0.000 As
0.000 0.500 0.500 As
0.500 0.000 0.000 S
0.500 0.000 0.500 S
0.000 0.000 0.500 S
0.500 0.500 0.000 S
```

Output
volume = 24.60 A^3/atom
space-group type = Imma (74)
formation energy without anion corrections = -1536 meV per atom

---

(5)
Entry from Alexandria: crystalline ScCdP2 at its relaxed geometry (PBE).

Geometry as POSCAR:
```
ScCdP2
1.0
-0.232 -3.454 1.055
-0.008 -1.039 -3.402
6.017 -1.413 -3.304
Cd P Sc
1 2 1
direct
0.500 0.750 0.750 Cd
0.000 0.935 0.065 P
0.000 0.565 0.435 P
0.500 0.250 0.250 Sc
```

Output
ΔE_f = -0.4689 eV per atom
volume = 19.43 A^3/atom
space-group type = Pmmm (47)

---

(6)
Entry from Alexandria: crystalline Pr4SmDyEr2 at its relaxed geometry (PBE).

Geometry as POSCAR:
```
Pr4SmDyEr2
1.0
-3.763 2.675 -2.355
-1.638 -4.320 -2.290
-7.804 -6.124 5.512
Pr Sm Dy Er
4 1 1 2
direct
0.000 0.751 0.749 Pr
0.000 0.249 0.251 Pr
0.500 0.748 0.252 Pr
0.500 0.252 0.748 Pr
0.500 0.500 0.000 Sm
0.000 0.500 0.500 Dy
0.000 0.000 0.000 Er
0.500 0.000 0.500 Er
```

Output
ΔE_f = 0.0162 eV per atom
volume = 33.76 A^3/atom
space-group type = Pmmm (47)

---

(7)
Entry from Alexandria: crystalline LaCdSe3 at its relaxed geometry (PBE).

Geometry as POSCAR:
```
LaCdSe3
1.0
-2.904 -2.636 -3.380
-0.991 -3.559 3.627
-4.170 2.681 1.491
Cd Se La
1 3 1
direct
0.000 0.000 0.000 Cd
0.000 0.500 0.000 Se
0.000 0.000 0.500 Se
0.500 0.000 0.000 Se
0.500 0.500 0.500 La
```

Output
volume = 27.76 A^3/atom
E above lowest polymorph = 0.0 kJ/mol of atoms
space-group type = Pm-3m (221)
formation energy without anion corrections = -655 meV per atom

---

(8)
Entry from Alexandria: crystalline CaOsRu at its relaxed geometry (PBE).

Geometry as POSCAR:
```
CaOsRu
1.0
-0.229 -2.698 4.892
4.617 -3.102 -0.575
3.197 1.167 2.747
Ru Ca Os
2 2 2
direct
0.883 0.391 0.750 Ru
0.069 0.205 0.250 Ru
0.467 0.142 0.582 Ca
0.820 0.789 0.082 Ca
0.226 0.717 0.416 Os
0.395 0.548 0.916 Os
```

Output
ΔE_f = 0.0974 eV per atom
volume = 19.31 A^3/atom
E above lowest polymorph = 0.7 kJ/mol of atoms
space-group type = Ima2 (46)

---

no.,calculated total energy (eV/atom)
1,-3.933
2,-2.925
3,-3.441
4,-5.964
5,-4.985
6,-4.679
7,-3.914
8,-7.405